A plane-wave DFT calculation with PBE with a Hubbard U was carried out for a relaxed structure of Tl2MoO4.

Calculated values
Size of the total moment, μB/cell: 0.00
E above lowest polymorph, eV per atom: 0.1527
Fermi-level density of states, states/eV/f.u.: 1.563

Lattice parameters (Å, degrees): 3.932 3.932 8.292 76.28 76.28 90.00
Atoms (fractional coordinates):
1 O 0.122 0.122 0.756
2 O 0.878 0.878 0.244
3 O 0.500 0.000 0.000
4 O 0.000 0.500 0.000
5 Tl 0.340 0.340 0.320
6 Tl 0.660 0.660 0.680
7 Mo 0.000 0.000 0.000